# CsK2MgH5, optimized geometry, DFT PBE-GGA
# uncorrected energy: -93.81 eV/cell
data_CsK2MgH5
_space_group_name_H-M_alt 'I 4/m c m'
_space_group_IT_number 140
_space_group_name_Hall '-I 4 2c'
_cell_length_a 7.723
_cell_length_b 7.723
_cell_length_c 12.255
_cell_angle_alpha 90.00
_cell_angle_beta 90.00
_cell_angle_gamma 90.00
loop_
_atom_site_label
_atom_site_fract_x
_atom_site_fract_y
_atom_site_fract_z
_atom_site_occupancy
Cs1 0.000 0.000 0.250 1
K1 0.183 0.317 0.000 1
Mg1 0.000 0.500 0.250 1
H1 0.000 0.000 0.000 1
H2 0.131 0.369 0.347 1